An optimized crystal structure of BiAu15. Source: OQMD via LeMat-Bulk, functional PBE.

Cell: 8.364 45.919 4.175 Å, 90.00 90.00 90.00°
Fractional positions:
Au 0.625 0.022 0.000
Au 0.125 0.022 0.000
Au 0.875 0.067 0.000
Au 0.375 0.067 0.000
Au 0.125 0.112 0.000
Au 0.625 0.112 0.000
Au 0.875 0.157 0.000
Au 0.376 0.157 0.000
Au 0.126 0.202 0.000
Au 0.625 0.202 0.000
Au 0.873 0.247 0.000
Au 0.379 0.248 0.000
Au 0.132 0.291 0.000
Au 0.616 0.296 0.000
Au 0.892 0.338 0.000
Au 0.108 0.662 0.000
Au 0.384 0.704 0.000
Au 0.868 0.709 0.000
Au 0.621 0.752 0.000
Au 0.127 0.753 0.000
Au 0.375 0.798 0.000
Au 0.874 0.798 0.000
Au 0.624 0.843 0.000
Au 0.125 0.843 0.000
Au 0.375 0.888 0.000
Au 0.875 0.888 0.000
Au 0.625 0.933 0.000
Au 0.125 0.933 0.000
Au 0.875 0.978 0.000
Au 0.375 0.978 0.000
Au 0.375 0.022 0.500
Au 0.875 0.022 0.500
Au 0.125 0.067 0.500
Au 0.625 0.067 0.500
Au 0.875 0.112 0.500
Au 0.375 0.112 0.500
Au 0.125 0.157 0.500
Au 0.624 0.157 0.500
Au 0.874 0.202 0.500
Au 0.375 0.202 0.500
Au 0.127 0.247 0.500
Au 0.621 0.248 0.500
Au 0.868 0.291 0.500
Au 0.384 0.296 0.500
Au 0.108 0.338 0.500
Au 0.892 0.662 0.500
Au 0.616 0.704 0.500
Au 0.132 0.709 0.500
Au 0.379 0.752 0.500
Au 0.873 0.753 0.500
Au 0.625 0.798 0.500
Au 0.126 0.798 0.500
Au 0.376 0.843 0.500
Au 0.875 0.843 0.500
Au 0.625 0.888 0.500
Au 0.125 0.888 0.500
Au 0.375 0.933 0.500
Au 0.875 0.933 0.500
Au 0.125 0.978 0.500
Au 0.625 0.978 0.500
Bi 0.332 0.347 0.000
Bi 0.668 0.653 0.000
Bi 0.668 0.347 0.500
Bi 0.332 0.653 0.500

## Properties
Its space group is Pccm (49). The energy above the most stable polymorph in this dataset is 0 meV per atom.

An optimized crystal structure of Bi2Au7. Source: OQMD via LeMat-Bulk, functional PBE.

Cell: 3.255 3.255 30.873 Å, 90.00 90.00 120.00°
Fractional positions:
Au 0.000 0.000 0.295
Au 0.667 0.333 0.364
Au 0.333 0.667 0.432
Au 0.000 0.000 0.500
Au 0.667 0.333 0.568
Au 0.333 0.667 0.636
Au 0.000 0.000 0.705
Bi 0.333 0.667 0.218
Bi 0.667 0.333 0.782

## Properties
Its space group is P-3m1 (164). The calculated total energy comes out at -3.317 eV/atom.

An optimized crystal structure of BiAu7. Source: OQMD via LeMat-Bulk, functional PBE.

Cell: 3.047 4.019 35.101 Å, 90.00 90.00 90.00°
Fractional positions:
Au 0.500 0.500 0.224
Au 0.000 0.000 0.268
Au 0.500 0.500 0.311
Au 0.000 0.000 0.353
Au 0.500 0.500 0.395
Au 0.000 0.000 0.437
Au 0.500 0.500 0.479
Au 0.000 0.000 0.521
Au 0.500 0.500 0.563
Au 0.000 0.000 0.605
Au 0.500 0.500 0.647
Au 0.000 0.000 0.689
Au 0.500 0.500 0.732
Au 0.000 0.000 0.776
Bi 0.000 0.000 0.176
Bi 0.500 0.500 0.824

## Properties
Its space group is Pmmn (59). The calculated total energy comes out at -3.321 eV/atom.

An optimized crystal structure of BiAu124. Source: OQMD via LeMat-Bulk, functional PBE.

Cell: 14.748 14.748 14.748 Å, 60.00 60.00 60.00°
Fractional positions:
Au 0.205 0.000 0.000
Au 0.402 0.000 0.000
Au 0.598 0.000 0.000
Au 0.795 0.000 0.000
Au 0.000 0.205 0.000
Au 0.795 0.205 0.000
Au 0.000 0.402 0.000
Au 0.598 0.402 0.000
Au 0.000 0.598 0.000
Au 0.402 0.598 0.000
Au 0.000 0.795 0.000
Au 0.205 0.795 0.000
Au 0.201 0.598 0.000
Au 0.201 0.201 0.000
Au 0.598 0.201 0.000
Au 0.600 0.600 0.000
Au 0.799 0.600 0.000
Au 0.600 0.799 0.000
Au 0.800 0.200 0.200
Au 0.200 0.800 0.200
Au 0.800 0.800 0.200
Au 0.200 0.200 0.200
Au 0.399 0.200 0.200
Au 0.200 0.399 0.200
Au 0.600 0.400 0.200
Au 0.800 0.400 0.200
Au 0.800 0.600 0.200
Au 0.600 0.800 0.200
Au 0.400 0.800 0.200
Au 0.400 0.600 0.200
Au 0.400 0.400 0.201
Au 0.000 0.400 0.201
Au 0.400 0.000 0.201
Au 0.600 0.600 0.201
Au 0.598 0.000 0.201
Au 0.000 0.201 0.201
Au 0.598 0.201 0.201
Au 0.000 0.598 0.201
Au 0.201 0.598 0.201
Au 0.201 0.000 0.201
Au 0.000 0.000 0.205
Au 0.795 0.000 0.205
Au 0.000 0.795 0.205
Au 0.200 0.200 0.399
Au 0.400 0.201 0.400
Au 0.000 0.201 0.400
Au 0.201 0.400 0.400
Au 0.000 0.400 0.400
Au 0.201 0.000 0.400
Au 0.400 0.000 0.400
Au 0.200 0.800 0.400
Au 0.800 0.200 0.400
Au 0.600 0.200 0.400
Au 0.800 0.600 0.400
Au 0.200 0.600 0.400
Au 0.600 0.800 0.400
Au 0.799 0.400 0.400
Au 0.400 0.799 0.400
Au 0.400 0.400 0.400
Au 0.600 0.400 0.400
Au 0.400 0.600 0.400
Au 0.600 0.600 0.400
Au 0.000 0.000 0.402
Au 0.598 0.000 0.402
Au 0.000 0.598 0.402
Au 0.799 0.799 0.402
Au 0.000 0.799 0.402
Au 0.799 0.000 0.402
Au 0.201 0.000 0.598
Au 0.000 0.201 0.598
Au 0.201 0.201 0.598
Au 0.000 0.000 0.598
Au 0.402 0.000 0.598
Au 0.000 0.402 0.598
Au 0.400 0.400 0.600
Au 0.600 0.400 0.600
Au 0.400 0.600 0.600
Au 0.600 0.600 0.600
Au 0.600 0.201 0.600
Au 0.201 0.600 0.600
Au 0.400 0.200 0.600
Au 0.800 0.200 0.600
Au 0.200 0.400 0.600
Au 0.800 0.400 0.600
Au 0.200 0.800 0.600
Au 0.400 0.800 0.600
Au 0.600 0.000 0.600
Au 0.799 0.000 0.600
Au 0.000 0.600 0.600
Au 0.799 0.600 0.600
Au 0.000 0.799 0.600
Au 0.600 0.799 0.600
Au 0.800 0.800 0.601
Au 0.000 0.000 0.795
Au 0.205 0.000 0.795
Au 0.000 0.205 0.795
Au 0.799 0.402 0.799
Au 0.000 0.402 0.799
Au 0.402 0.799 0.799
Au 0.000 0.799 0.799
Au 0.402 0.000 0.799
Au 0.799 0.000 0.799
Au 0.400 0.400 0.799
Au 0.600 0.000 0.799
Au 0.000 0.600 0.799
Au 0.600 0.600 0.799
Au 0.200 0.400 0.800
Au 0.600 0.400 0.800
Au 0.600 0.200 0.800
Au 0.400 0.600 0.800
Au 0.200 0.600 0.800
Au 0.400 0.200 0.800
Au 0.800 0.601 0.800
Au 0.800 0.800 0.800
Au 0.601 0.800 0.800
Au 0.200 0.200 0.800
Au 0.800 0.200 0.800
Au 0.200 0.800 0.800
Au 0.400 0.201 0.000
Au 0.201 0.400 0.000
Au 0.400 0.400 0.000
Au 0.799 0.402 0.000
Au 0.402 0.799 0.000
Au 0.799 0.799 0.000
Bi 0.000 0.000 0.000

## Properties
Its space group is Fm-3m (225). The calculated total energy comes out at -3.276 eV/atom.

An optimized crystal structure of BiAu15. Source: OQMD via LeMat-Bulk, functional PBE.

Cell: 5.862 4.117 36.116 Å, 90.00 90.01 90.00°
Fractional positions:
Au 0.374 0.500 0.193
Au 0.120 0.000 0.230
Au 0.627 0.000 0.230
Au 0.876 0.500 0.273
Au 0.375 0.500 0.274
Au 0.127 0.000 0.314
Au 0.626 0.000 0.314
Au 0.877 0.500 0.355
Au 0.377 0.500 0.357
Au 0.628 0.000 0.397
Au 0.125 0.000 0.397
Au 0.876 0.500 0.438
Au 0.376 0.500 0.438
Au 0.625 0.000 0.479
Au 0.125 0.000 0.479
Au 0.875 0.500 0.521
Au 0.375 0.500 0.521
Au 0.624 0.000 0.562
Au 0.124 0.000 0.562
Au 0.875 0.500 0.603
Au 0.372 0.500 0.603
Au 0.623 0.000 0.643
Au 0.123 0.000 0.645
Au 0.374 0.500 0.686
Au 0.873 0.500 0.686
Au 0.625 0.000 0.726
Au 0.124 0.000 0.727
Au 0.373 0.500 0.770
Au 0.880 0.500 0.770
Au 0.626 0.000 0.807
Bi 0.873 0.500 0.183
Bi 0.127 0.000 0.817

## Properties
Its space group is P2_1/m (11). The energy above the most stable polymorph in this dataset is 22 meV per atom.

An optimized crystal structure of BiAu8. Source: OQMD via LeMat-Bulk, functional PBE.

Cell: 5.037 5.037 32.084 Å, 90.27 90.27 48.46°
Fractional positions:
Au 0.349 0.349 0.014
Au 0.050 0.050 0.044
Au 0.751 0.751 0.074
Au 0.452 0.452 0.102
Au 0.152 0.152 0.133
Au 0.855 0.855 0.162
Au 0.557 0.557 0.193
Au 0.246 0.246 0.225
Au 0.754 0.754 0.775
Au 0.443 0.443 0.807
Au 0.145 0.145 0.838
Au 0.848 0.848 0.867
Au 0.548 0.548 0.898
Au 0.249 0.249 0.926
Au 0.950 0.950 0.956
Au 0.651 0.651 0.986
Bi 0.943 0.943 0.254
Bi 0.057 0.057 0.746

## Properties
Its space group is C2/m (12). The calculated total energy comes out at -3.323 eV/atom.

An optimized crystal structure of BiAu17. Source: OQMD via LeMat-Bulk, functional PBE.

Cell: 5.063 5.870 34.037 Å, 90.00 90.24 90.00°
Fractional positions:
Au 0.337 0.506 0.216
Au 0.337 0.994 0.216
Au 0.836 0.750 0.216
Au 0.506 0.250 0.286
Au 0.999 0.005 0.287
Au 0.999 0.495 0.287
Au 0.500 0.750 0.288
Au 0.164 0.750 0.358
Au 0.168 0.250 0.358
Au 0.666 0.001 0.358
Au 0.666 0.499 0.358
Au 0.833 0.250 0.429
Au 0.332 0.501 0.429
Au 0.332 0.999 0.429
Au 0.833 0.750 0.429
Au 0.500 0.250 0.500
Au 0.000 0.000 0.500
Au 0.000 0.500 0.500
Au 0.500 0.750 0.500
Au 0.167 0.250 0.571
Au 0.668 0.001 0.571
Au 0.668 0.499 0.571
Au 0.167 0.750 0.571
Au 0.334 0.501 0.642
Au 0.334 0.999 0.642
Au 0.832 0.750 0.642
Au 0.836 0.250 0.642
Au 0.500 0.250 0.712
Au 0.001 0.505 0.713
Au 0.001 0.995 0.713
Au 0.494 0.750 0.714
Au 0.164 0.250 0.784
Au 0.663 0.006 0.784
Au 0.663 0.494 0.784
Bi 0.837 0.250 0.197
Bi 0.163 0.750 0.803

## Properties
Its space group is P2_1/m (11). The energy above the most stable polymorph in this dataset is 0 meV per atom.

An optimized crystal structure of BiAu15. Source: OQMD via LeMat-Bulk, functional PBE.

Cell: 5.878 3.005 45.698 Å, 90.00 90.02 90.00°
Fractional positions:
Au 0.875 0.250 0.165
Au 0.618 0.750 0.209
Au 0.132 0.750 0.209
Au 0.875 0.250 0.254
Au 0.375 0.250 0.255
Au 0.124 0.750 0.299
Au 0.626 0.750 0.299
Au 0.376 0.250 0.344
Au 0.875 0.250 0.344
Au 0.125 0.750 0.388
Au 0.625 0.750 0.388
Au 0.375 0.250 0.433
Au 0.875 0.250 0.433
Au 0.625 0.750 0.478
Au 0.125 0.750 0.478
Au 0.875 0.250 0.522
Au 0.375 0.250 0.522
Au 0.125 0.750 0.567
Au 0.625 0.750 0.567
Au 0.375 0.250 0.612
Au 0.875 0.250 0.612
Au 0.125 0.750 0.656
Au 0.624 0.750 0.656
Au 0.374 0.250 0.701
Au 0.876 0.250 0.701
Au 0.625 0.750 0.745
Au 0.125 0.750 0.746
Au 0.868 0.250 0.791
Au 0.382 0.250 0.791
Au 0.125 0.750 0.835
Bi 0.375 0.250 0.155
Bi 0.625 0.750 0.845

## Properties
Its space group is P2_1/m (11). The energy above the most stable polymorph in this dataset is 19 meV per atom.